First-principles (PBE) data for a geometry-optimized CsFeI2 structure, as listed in Alexandria.

a b c (Å): 5.977 5.977 5.977
angles (deg): 60.00 60.00 60.00
Atoms (fractional coordinates):
I: 0.750 0.750 0.750
I: 0.250 0.250 0.250
Cs: 0.500 0.500 0.500
Fe: 0.000 0.000 0.000

Results
The total energy comes out at -3.0583 eV per atom. Its formation energy from raw total energies is 45.8 meV/atom. For the spin magnetization, the calculation gives 3.333 μB per formula unit.



First-principles (PBE) data for a geometry-optimized MgSi2Ag structure, as listed in Alexandria.

a b c (Å): 2.991 2.991 8.884
angles (deg): 90.00 90.00 117.77
Atoms (fractional coordinates):
Ag: 0.500 0.500 0.250
Si: 0.000 0.000 0.499
Mg: 0.500 0.500 0.750
Si: 0.000 0.000 0.001

Results
The total energy comes out at -3.4717 eV per atom. Its formation energy from raw total energies is 351.3 meV/atom. For the spin magnetization, the calculation gives 0.000 μB per formula unit.



First-principles (PBE) data for a geometry-optimized Li3Ag2Au6 structure, as listed in Alexandria.

a b c (Å): 3.837 3.837 13.838
angles (deg): 97.97 97.97 90.00
Atoms (fractional coordinates):
Au: 0.427 0.927 0.854
Au: 0.073 0.573 0.146
Au: 0.770 0.770 0.540
Li: 0.000 0.000 0.000
Ag: 0.333 0.333 0.666
Ag: 0.667 0.667 0.334
Au: 0.230 0.230 0.460
Li: 0.138 0.138 0.277
Au: 0.573 0.073 0.146
Au: 0.927 0.427 0.854
Li: 0.862 0.862 0.723

Results
The total energy comes out at -2.9864 eV per atom. The calculation puts the distance to the lowest polymorph of the same formula at 0.084 eV/atom. For the spin magnetization, the calculation gives 0.000 μB per formula unit. The value obtained for the formation energy is -0.158 eV per atom.



First-principles (PBE) data for a geometry-optimized CaPW2 structure, as listed in Alexandria.

a b c (Å): 4.998 5.972 2.728
angles (deg): 75.45 93.12 115.52
Atoms (fractional coordinates):
P: 0.500 0.500 0.000
W: 0.000 0.000 0.000
W: 0.500 0.000 0.500
Ca: 0.000 0.500 0.500

Results
The total energy comes out at -7.6778 eV per atom. The calculation puts the distance to the lowest polymorph of the same formula at 0.560 eV/atom. For the spin magnetization, the calculation gives 0.000 μB per formula unit. The value obtained for the formation energy is 0.652 eV per atom.



First-principles (PBE) data for a geometry-optimized Sm5HoMg structure, as listed in Alexandria.

a b c (Å): 9.598 6.459 11.851
angles (deg): 75.74 90.00 137.99
Atoms (fractional coordinates):
Sm: 0.979 0.587 0.845
Ho: 0.495 0.000 0.250
Sm: 0.544 0.772 0.037
Sm: 0.608 0.587 0.345
Ho: 0.505 0.000 0.750
Sm: 0.227 0.772 0.537
Sm: 0.456 0.228 0.963
Sm: 0.860 0.000 0.750
Mg: 0.000 0.000 0.000
Sm: 0.140 0.000 0.250
Sm: 0.392 0.413 0.655
Sm: 0.773 0.228 0.463
Sm: 0.021 0.413 0.155
Mg: 0.000 0.000 0.500

Results
The total energy comes out at -4.1424 eV per atom. For the spin magnetization, the calculation gives 0.000 μB per formula unit. The value obtained for the formation energy is 0.110 eV per atom.



First-principles (PBE) data for a geometry-optimized NaTiI2 structure, as listed in Alexandria.

a b c (Å): 7.014 7.014 8.103
angles (deg): 64.36 64.36 90.00
Atoms (fractional coordinates):
Ti: 0.000 0.000 0.000
I: 0.875 0.906 0.750
I: 0.375 0.344 0.750
Na: 0.500 0.500 0.000
I: 0.094 0.625 0.250
Na: 0.250 0.750 0.500
Ti: 0.750 0.250 0.500
I: 0.656 0.125 0.250

Results
The total energy comes out at -3.4259 eV per atom. Its formation energy from raw total energies is -347.3 meV/atom. The calculation puts the distance to the lowest polymorph of the same formula at 0.082 eV/atom. For the spin magnetization, the calculation gives 2.998 μB per formula unit.